DFT (PBE) results for a relaxed Ac7Pd4Rh crystal.

The formation energy from the elements is -0.66 eV per atom. The calculation puts the total DFT energy (no corrections) at -0.39680 Ry/atom. Its symmetry is Cm.

Unit cell a=4.3078 b=7.5447 c=13.2494 alpha=104.31 beta=90.00 gamma=106.59
Fractional positions:
Ac 0.4977 0.9954 0.5035
Ac 0.3435 0.6870 0.9481
Ac 0.6528 0.3055 0.0513
Ac 0.9618 0.9237 0.2173
Ac 0.2672 0.5344 0.6389
Ac 0.7437 0.4874 0.3633
Ac 0.0346 0.0692 0.7796
Pd 0.3028 0.6055 0.1802
Pd 0.1169 0.2338 0.4265
Pd 0.9982 0.9964 0.9992
Pd 0.6954 0.3908 0.8195
Rh 0.8854 0.7708 0.5725



DFT (PBE) results for a relaxed Y2O3 crystal.

The calculation puts the total DFT energy (no corrections) at -0.66978 Ry/atom. Its symmetry is Ia-3. As for the uncorrected formation energy: -3552 meV per atom.

Unit cell a=9.2690 b=9.2690 c=9.2690 alpha=109.47 beta=109.47 gamma=109.47
Fractional positions:
O 0.0315 0.2708 0.5426
O 0.2281 0.4888 0.9574
O 0.5315 0.9888 0.7607
O 0.4888 0.4574 0.7281
O 0.7708 0.2393 0.2281
O 0.2607 0.5315 0.4888
O 0.9574 0.9685 0.2292
O 0.5426 0.7719 0.0112
O 0.9888 0.2607 0.0315
O 0.9685 0.7292 0.4574
O 0.2393 0.7281 0.2708
O 0.7292 0.9574 0.4685
O 0.5112 0.5426 0.2719
O 0.7719 0.5112 0.0426
O 0.0112 0.7393 0.9685
O 0.4574 0.2281 0.9888
O 0.2719 0.2292 0.2607
O 0.0426 0.0315 0.7708
O 0.7607 0.2719 0.7292
O 0.7281 0.7708 0.7393
O 0.2292 0.7607 0.7719
O 0.4685 0.0112 0.2393
O 0.2708 0.0426 0.5315
O 0.7393 0.4685 0.5112
Y 0.5000 0.0000 0.0000
Y 0.0000 0.5000 0.0000
Y 0.2173 0.9673 0.2500
Y 0.5327 0.2500 0.7827
Y 0.0000 0.0000 0.5000
Y 0.7173 0.4673 0.2500
Y 0.9673 0.7500 0.7173
Y 0.7500 0.2173 0.4673
Y 0.4673 0.7500 0.2173
Y 0.7827 0.0327 0.7500
Y 0.7500 0.7173 0.9673
Y 0.2827 0.5327 0.7500
Y 0.2500 0.2827 0.0327
Y 0.2500 0.7827 0.5327
Y 0.0327 0.2500 0.2827
Y 0.5000 0.5000 0.5000



DFT (PBE) results for a relaxed Rb2HfGePd crystal.

The formation energy from the elements is 0.88 eV per atom. The calculation puts the total DFT energy (no corrections) at -0.25402 Ry/atom. Its symmetry is P4/mmm.

Unit cell a=6.1716 b=5.0756 c=6.1716 alpha=90.00 beta=90.00 gamma=90.00
Each line ends with the local moment (μB).
Fractional positions:
Rb 0.5000 0.0000 0.0000  0.00
Rb 0.0000 0.0000 0.5000  0.00
Hf 0.0000 0.5000 0.0000  0.19
Ge 0.5000 0.5000 0.5000  -0.04
Pd 0.0000 0.0000 0.0000  -0.01



DFT (PBE) results for a relaxed CsCuAgCl3 crystal.

The calculation puts the total DFT energy (no corrections) at -0.22880 Ry/atom. Its symmetry is C2/m. As for the uncorrected formation energy: -889 meV per atom.

Unit cell a=4.1181 b=10.4130 c=9.1750 alpha=114.66 beta=90.00 gamma=101.40
Fractional positions:
Cl 0.8444 0.6889 0.2648
Cl 0.8230 0.6459 0.6567
Cl 0.5129 0.0257 0.3155
Cl 0.1770 0.3541 0.3433
Cl 0.1556 0.3111 0.7352
Cl 0.4871 0.9743 0.6845
Ag 0.6738 0.3477 0.5350
Ag 0.3262 0.6523 0.4650
Cu 0.0315 0.0631 0.6603
Cu 0.9685 0.9369 0.3397
Cs 0.6476 0.2951 0.0413
Cs 0.3524 0.7049 0.9587



DFT (PBE) results for a relaxed ZnReNi crystal.

The formation energy from the elements is 0.03 eV per atom. Its energy above the most stable polymorph in this dataset is 30 meV per atom. The calculation puts the total DFT energy (no corrections) at -0.47565 Ry/atom. Its symmetry is C2/m.

Unit cell a=4.6517 b=7.9103 c=4.6072 alpha=90.00 beta=109.44 gamma=90.00
Fractional positions:
Zn 0.0000 0.5000 0.0000
Zn 0.5000 0.5000 0.5000
Zn 0.5000 0.0000 0.0000
Zn 0.0000 0.0000 0.5000
Re 0.5000 0.1684 0.5000
Re 0.5000 0.6684 0.0000
Re 0.5000 0.3316 0.0000
Re 0.5000 0.8316 0.5000
Ni 0.0000 0.1762 0.0000
Ni 0.0000 0.8238 0.0000
Ni 0.0000 0.6762 0.5000
Ni 0.0000 0.3238 0.5000



DFT (PBE) results for a relaxed BeCo2BiBr crystal.

The calculation puts the total DFT energy (no corrections) at -0.28018 Ry/atom. Its symmetry is P4/mmm. As for the uncorrected formation energy: 886 meV per atom.

Unit cell a=4.3141 b=5.0598 c=4.3141 alpha=90.00 beta=90.00 gamma=90.00
Each line ends with the local moment (μB).
Fractional positions:
Bi 0.0000 0.5000 0.0000  -0.05
Be 0.0000 0.0000 0.0000  -0.08
Co 0.0000 0.0000 0.5000  1.22
Co 0.5000 0.0000 0.0000  1.34
Br 0.5000 0.5000 0.5000  0.02



Q: Look up the total DFT energy (no corrections) of the sixth one.
A: -0.28018 Ry/atom



Q: The highest total DFT energy (no corrections) belongs to which entry?
A: CsCuAgCl3



Q: What is the total DFT energy (no corrections) in the sixth record?
A: -0.28018 Ry/atom



Copy entry 6 word for word.
DFT (PBE) results for a relaxed BeCo2BiBr crystal.

The calculation puts the total DFT energy (no corrections) at -0.28018 Ry/atom. Its symmetry is P4/mmm. As for the uncorrected formation energy: 886 meV per atom.

Unit cell a=4.3141 b=5.0598 c=4.3141 alpha=90.00 beta=90.00 gamma=90.00
Each line ends with the local moment (μB).
Fractional positions:
Bi 0.0000 0.5000 0.0000  -0.05
Be 0.0000 0.0000 0.0000  -0.08
Co 0.0000 0.0000 0.5000  1.22
Co 0.5000 0.0000 0.0000  1.34
Br 0.5000 0.5000 0.5000  0.02